Record 1
The following is a PBE calculation of crystalline NdDy2ScS4 at its relaxed geometry, from Alexandria.

Lattice parameters (Å, degrees): 6.734 3.865 6.839 90.00 108.98 90.00
Positions (direct):
Nd 0.000 0.000 0.000
Dy 0.500 0.000 0.500
Dy 0.500 0.500 0.000
Sc 0.000 0.500 0.500
S 0.244 0.000 0.735
S 0.255 0.500 0.265
S 0.745 0.500 0.735
S 0.756 0.000 0.265

As for the total DFT energy (no corrections): -6.538 eV/atom. Its crystal system is monoclinic. Its space group is No. 10. As for the density of states at the Fermi level: 4.79 states/eV/cell.

---

Record 2
The following is a PBE calculation of crystalline Nd2Dy3ScS6 at its relaxed geometry, from Alexandria.

Lattice parameters (Å, degrees): 8.772 8.772 7.913 102.93 102.93 25.81
Positions (direct):
Nd 0.167 0.167 0.334
Nd 0.833 0.833 0.666
Dy 0.170 0.170 0.834
Dy 0.500 0.500 0.500
Dy 0.830 0.830 0.166
Sc 0.500 0.500 0.000
S 0.005 0.005 0.762
S 0.337 0.337 0.408
S 0.339 0.339 0.929
S 0.661 0.661 0.071
S 0.663 0.663 0.592
S 0.995 0.995 0.238

As for the total DFT energy (no corrections): -6.498 eV/atom. Its crystal system is monoclinic. Its space group is No. 12. As for the density of states at the Fermi level: 5.51 states/eV/cell.

---

Record 3
The following is a PBE calculation of crystalline Nd2Dy2Se2S3 at its relaxed geometry, from Alexandria.

Lattice parameters (Å, degrees): 8.459 8.459 8.459 142.78 142.78 53.65
Positions (direct):
Nd 0.200 0.200 0.000
Nd 0.800 0.800 0.000
Dy 0.000 0.500 0.500
Dy 0.500 0.000 0.500
Se 0.398 0.398 0.000
Se 0.602 0.602 0.000
S 0.000 0.000 0.000
S 0.250 0.750 0.500
S 0.750 0.250 0.500

As for the total DFT energy (no corrections): -5.912 eV/atom. Its crystal system is tetragonal. Its space group is No. 139. As for the density of states at the Fermi level: 4.95 states/eV/cell.

---

Record 4
The following is a PBE calculation of crystalline NdSm4Dy3S8 at its relaxed geometry, from Alexandria.

Lattice parameters (Å, degrees): 7.967 7.967 7.967 59.88 59.88 59.88
Positions (direct):
Nd 0.000 0.000 0.000
Sm 0.000 0.000 0.500
Sm 0.000 0.500 0.000
Sm 0.500 0.000 0.000
Sm 0.500 0.500 0.500
Dy 0.000 0.500 0.500
Dy 0.500 0.000 0.500
Dy 0.500 0.500 0.000
S 0.252 0.252 0.741
S 0.252 0.741 0.252
S 0.254 0.254 0.254
S 0.259 0.748 0.748
S 0.741 0.252 0.252
S 0.746 0.746 0.746
S 0.748 0.259 0.748
S 0.748 0.748 0.259

As for the total DFT energy (no corrections): -6.410 eV/atom. Its crystal system is trigonal. Its space group is No. 166. As for the density of states at the Fermi level: 8.71 states/eV/cell.

---

Record 5
The following is a PBE calculation of crystalline NdSmDy2S6 at its relaxed geometry, from Alexandria.

Lattice parameters (Å, degrees): 7.417 7.417 7.417 56.60 56.60 56.60
Positions (direct):
Nd 0.000 0.000 0.000
Sm 0.498 0.498 0.498
Dy 0.294 0.294 0.294
Dy 0.795 0.795 0.795
S 0.087 0.679 0.412
S 0.185 0.586 0.906
S 0.412 0.087 0.679
S 0.586 0.906 0.185
S 0.679 0.412 0.087
S 0.906 0.185 0.586

As for the total DFT energy (no corrections): -6.387 eV/atom. Its crystal system is trigonal. Its space group is No. 146. As for the density of states at the Fermi level: 0.00 states/eV/cell.

---

Record 6
The following is a PBE calculation of crystalline Nd2SmDy3S6 at its relaxed geometry, from Alexandria.

Lattice parameters (Å, degrees): 8.912 8.912 8.026 103.84 103.84 25.60
Positions (direct):
Nd 0.167 0.167 0.334
Nd 0.833 0.833 0.666
Sm 0.500 0.500 0.000
Dy 0.167 0.167 0.833
Dy 0.500 0.500 0.500
Dy 0.833 0.833 0.167
S 0.004 0.004 0.745
S 0.331 0.331 0.926
S 0.337 0.337 0.408
S 0.663 0.663 0.592
S 0.669 0.669 0.074
S 0.996 0.996 0.255

As for the total DFT energy (no corrections): -6.415 eV/atom. Its crystal system is monoclinic. Its space group is No. 12. As for the density of states at the Fermi level: 5.16 states/eV/cell.

---

Record 7
The following is a PBE calculation of crystalline NdSmDy4S8 at its relaxed geometry, from Alexandria.

Lattice parameters (Å, degrees): 8.147 8.147 8.147 59.68 59.68 59.68
Positions (direct):
Nd 0.000 0.000 0.000
Sm 0.625 0.625 0.625
Dy 0.128 0.625 0.625
Dy 0.252 0.252 0.252
Dy 0.625 0.128 0.625
Dy 0.625 0.625 0.128
S 0.379 0.379 0.857
S 0.379 0.857 0.379
S 0.384 0.384 0.384
S 0.406 0.869 0.869
S 0.857 0.379 0.379
S 0.864 0.864 0.864
S 0.869 0.406 0.869
S 0.869 0.869 0.406

As for the total DFT energy (no corrections): -6.277 eV/atom. Its crystal system is trigonal. Its space group is No. 160. As for the density of states at the Fermi level: 8.40 states/eV/cell.

---

Record 8
The following is a PBE calculation of crystalline NdSmDy2S4 at its relaxed geometry, from Alexandria.

Lattice parameters (Å, degrees): 6.852 3.924 6.972 90.00 108.87 90.00
Positions (direct):
Nd 0.000 0.000 0.000
Sm 0.500 0.500 0.000
Dy 0.000 0.500 0.500
Dy 0.500 0.000 0.500
S 0.248 0.000 0.738
S 0.257 0.500 0.264
S 0.743 0.500 0.736
S 0.752 0.000 0.262

As for the total DFT energy (no corrections): -6.410 eV/atom. Its crystal system is monoclinic. Its space group is No. 10. As for the density of states at the Fermi level: 4.45 states/eV/cell.

---

Please write out number 3 again, unchanged.
The following is a PBE calculation of crystalline Nd2Dy2Se2S3 at its relaxed geometry, from Alexandria.

Lattice parameters (Å, degrees): 8.459 8.459 8.459 142.78 142.78 53.65
Positions (direct):
Nd 0.200 0.200 0.000
Nd 0.800 0.800 0.000
Dy 0.000 0.500 0.500
Dy 0.500 0.000 0.500
Se 0.398 0.398 0.000
Se 0.602 0.602 0.000
S 0.000 0.000 0.000
S 0.250 0.750 0.500
S 0.750 0.250 0.500

As for the total DFT energy (no corrections): -5.912 eV/atom. Its crystal system is tetragonal. Its space group is No. 139. As for the density of states at the Fermi level: 4.95 states/eV/cell.